The following is a PBE calculation of an optimized crystal structure of Rb2BiAs2S6, from Alexandria via LeMat-Bulk.

Unit cell a=7.235 b=7.291 c=8.309 alpha=114.62 beta=90.00 gamma=119.75
Atoms (fractional coordinates):
Rb 0.713 0.427 0.213
Rb 0.287 0.573 0.787
Bi 0.500 0.000 0.500
As 0.958 0.915 0.816
As 0.042 0.085 0.184
S 0.758 0.515 0.678
S 0.205 0.905 0.213
S 0.300 0.095 0.787
S 0.795 0.095 0.787
S 0.700 0.905 0.213
S 0.242 0.485 0.322

Summary:
Raw total energy in eV for the cell shown: -45.0
N(E_F) in states/eV/f.u.: 1.87
Total magnetization in μB/f.u.: 0.000
ΔE_f (raw) in eV per atom: -0.463